Computed, not measured: BaZr4Re after structural relaxation at the PBE level of DFT.

Lattice parameters (Å, degrees): 5.8297 5.8297 5.8297 60.00 60.00 60.00
Last column: nearest neighbours and their distance in Å.
Positions (direct):
Ba 0.0000 0.0000 0.0000  12 Zr 3.42, 4 Re 3.57
Zr 0.3769 0.3769 0.3769  6 Zr 2.87-2.96
Zr 0.3769 0.3769 0.8692  6 Zr 2.87-2.96
Zr 0.3769 0.8692 0.3769  6 Zr 2.87-2.96
Zr 0.8692 0.3769 0.3769  6 Zr 2.87-2.96
Re 0.7500 0.7500 0.7500  12 Zr 3.41, 4 Ba 3.57

Calculated values
Formation enthalpy at 0 K in eV/atom: 0.85
Total DFT energy (no corrections) in eV per cell: -43.474
Crystal system: cubic